Record 1
{
  "formula": "Dy2CuNi9",
  "functional": "PBE",
  "state": "relaxed",
  "vol_a3_per_atom": 13.769,
  "e_form_ev_per_atom": -0.16,
  "e_tot_ev_per_atom": -5.600,
  "spacegroup": "R-3m",
  "lattice_angstrom": [[-2.5327, -1.6646, 3.8385], [-1.1126, -4.7517, 0.3211], [5.6020, -3.4701, 5.3073]],
  "species": ["Ni", "Ni", "Ni", "Ni", "Ni", "Ni", "Ni", "Ni", "Ni", "Dy", "Dy", "Cu"],
  "frac_coords": [[0.5000, 0.5000, 0.5000], [0.9199, 0.4183, 0.2436], [0.0801, 0.5817, 0.7564], [0.4183, 0.9199, 0.2436], [0.6670, 0.6670, 0.9991], [0.4183, 0.4183, 0.2436], [0.5817, 0.0801, 0.7564], [0.5817, 0.5817, 0.7564], [0.3330, 0.3330, 0.0009], [0.1336, 0.1336, 0.5992], [0.8664, 0.8664, 0.4008], [0.0000, 0.0000, 0.0000]]
}

***

Record 2
{
  "formula": "MnCoSb4",
  "functional": "PBE",
  "state": "relaxed",
  "raw_formation_energy_mev_per_atom": 959,
  "vol_a3_per_atom": 27.002,
  "e_tot_ev_per_atom": -4.502,
  "spacegroup": "F-43m",
  "lattice_angstrom": [[-5.4523, -2.7057, -0.6281], [-3.1517, -1.7186, 4.9554], [-5.1002, 2.9932, 1.5723]],
  "species": ["Mn", "Co", "Sb", "Sb", "Sb", "Sb"],
  "frac_coords": [[0.0000, 0.0000, 0.0000], [0.7500, 0.7500, 0.7500], [0.3752, 0.3752, 0.3752], [0.3752, 0.8745, 0.3752], [0.3752, 0.3752, 0.8745], [0.8745, 0.3752, 0.3752]]
}

***

Q: What is the formula in the second record?
A: MnCoSb4